# InCoBr2 | Alexandria | PBE | optimized geometry
# Magnetic moment: 0.5301 μB/atom
# E_form (uncorrected): 0.27 eV per atom
# Calculated total energy: -24.2 eV for the cell shown
# N(E_F): 4.7 states/eV per cell
# Symmetry: No. 12
# ΔE to the lowest computed polymorph: 450 meV per atom
data_InCoBr2
_chemical_formula_sum 'In2 Co2 Br4'
_cell_length_a 7.798
_cell_length_b 7.992
_cell_length_c 3.701
_cell_angle_alpha 90.00
_cell_angle_beta 110.36
_cell_angle_gamma 90.00
_symmetry_space_group_name_H-M 'P 1'
_symmetry_Int_Tables_number 1
loop_
_symmetry_equiv_pos_as_xyz
'x,y,z'
loop_
_atom_site_label
_atom_site_type_symbol
_atom_site_fract_x
_atom_site_fract_y
_atom_site_fract_z
_atom_site_occupancy
In1 In 0.000 0.000 0.000 1
In2 In 0.500 0.500 0.000 1
Co1 Co 0.000 0.500 0.000 1
Co2 Co 0.500 0.000 0.000 1
Br1 Br 0.250 0.250 0.500 1
Br2 Br 0.250 0.750 0.500 1
Br3 Br 0.750 0.250 0.500 1
Br4 Br 0.750 0.750 0.500 1